No. 1
A relaxed SmAg2Pd4 crystal, computed with PBE-GGA.

Output
Density of states at the Fermi level, states/eV/f.u.: 2.701
Total energy, eV/atom: -4.847

a = 8.754 Å, b = 6.850 Å, c = 5.429 Å
α = 90.00°, β = 127.93°, γ = 90.00°
Space group C2/m (No. 12)
Unique sites:
Sm1 0.000 0.000 0.000 (multiplicity 2)
Ag1 0.000 0.500 0.249 (multiplicity 4)
Pd1 0.198 0.199 0.699 (multiplicity 8)

No. 2
A relaxed Sm6AgPd crystal, computed with PBE-GGA.

Output
Density of states at the Fermi level, states/eV/f.u.: 11.202
Total energy, eV/atom: -4.769

a = 5.204 Å, b = 5.204 Å, c = 17.260 Å
α = 90.00°, β = 90.00°, γ = 90.00°
Space group I4/mmm (No. 139)
Unique sites:
Sm1 0.000 0.000 0.250 (multiplicity 4)
Sm2 0.000 0.500 0.103 (multiplicity 8)
Ag1 0.000 0.000 0.000 (multiplicity 2)
Pd1 0.000 0.000 0.500 (multiplicity 2)

No. 3
A relaxed Sm3AgPd5 crystal, computed with PBE-GGA.

Output
Density of states at the Fermi level, states/eV/f.u.: 4.377
Total energy, eV/atom: -5.480

a = 15.424 Å, b = 8.368 Å, c = 5.786 Å
α = 90.00°, β = 90.00°, γ = 90.00°
Space group Cmcm (No. 63)
Unique sites:
Sm1 0.000 0.138 0.250 (multiplicity 4)
Sm2 0.177 0.328 0.750 (multiplicity 8)
Ag1 0.000 0.500 0.000 (multiplicity 4)
Pd1 0.000 0.201 0.750 (multiplicity 4)
Pd2 0.154 0.323 0.250 (multiplicity 8)
Pd3 0.166 0.000 0.000 (multiplicity 8)

No. 4
A relaxed Sm12AgPd6 crystal, computed with PBE-GGA.

Output
Density of states at the Fermi level, states/eV/f.u.: 21.655
Total energy, eV/atom: -5.151

a = 13.3507 Å, b = 13.3507 Å, c = 11.2349 Å
α = 90.00°, β = 90.00°, γ = 120.00°
Space group R-3 (No. 148, hexagonal axes)
Unique sites:
Sm1 0.0298 0.8176 0.3835 (multiplicity 18)
Sm2 0.0388 0.8245 0.8856 (multiplicity 18)
Ag1 0.0000 0.0000 0.0000 (multiplicity 3)
Pd1 0.0441 0.7828 0.6414 (multiplicity 18)

- What is the density of states at the Fermi level in the first record?
  2.701 states/eV/f.u.

- Which formula does entry 3 have?
  Sm3AgPd5

- Which value of total energy does entry 1 give?
  -4.847 eV/atom